[1]
This record from Alexandria via LeMat-Bulk describes a relaxed SrLi2AsRh crystal. The functional is GGA-PBE.

a b c (Å): 4.7798 4.7798 4.7223
angles (deg): 90.00 90.00 90.00
Last column: nearest neighbours and their distance in Å.
Fractional positions:
Sr: 0.5000 0.5000 0.5000  8 Li 3.36, 4 As 3.38
As: 0.0000 0.0000 0.5000  2 Rh 2.36
Li: 0.0000 0.5000 0.0000  2 Rh 2.39
Rh: 0.0000 0.0000 0.0000  2 As 2.36, 4 Li 2.39
Li: 0.5000 0.0000 0.0000  2 Rh 2.39

Values from the calculation:
E_form in meV per atom: -452.5
Space group: P4/mmm

[2]
This record from Alexandria via LeMat-Bulk describes a relaxed LiTbAs2Rh5 crystal. The functional is GGA-PBE.

a b c (Å): 4.0682 4.0682 11.6769
angles (deg): 90.00 90.00 90.00
Last column: nearest neighbours and their distance in Å.
Fractional positions:
Rh: 0.0000 0.5000 0.6785  2 As 2.41
Rh: 0.5000 0.0000 0.6785  2 As 2.41
Rh: 0.5000 0.0000 0.3215  2 As 2.41
Tb: 0.5000 0.5000 0.5000  12 Rh 2.88-2.91
As: 0.0000 0.0000 0.2109  4 Rh 2.41, 1 Li 2.46
As: 0.0000 0.0000 0.7891  4 Rh 2.41, 1 Li 2.46
Rh: 0.0000 0.0000 0.5000  4 Tb 2.88, 8 Rh 2.91
Rh: 0.0000 0.5000 0.3215  2 As 2.41
Li: 0.0000 0.0000 0.0000  2 As 2.46

Values from the calculation:
E_form in meV per atom: -375.8
Space group: P4/mmm

Number 1: ρ 4.30 Mg/m³, electronic total energy -19.8 eV/f.u.. Number 2: ρ 7.13 Mg/m³, electronic total energy -56.0 eV/f.u..